Density functional theory data (PBE-GGA) for a relaxed structure of CaO2F6.

total moment: 0.00 μB/f.u.
density: 2.2 g/cm3
crystal system: monoclinic
E_form (uncorrected): -1.111 eV per atom

```
data_CaO2F6
_chemical_formula_sum 'Ca2 O4 F12'
_cell_length_a 14.071
_cell_length_b 5.985
_cell_length_c 3.275
_cell_angle_alpha 90.00
_cell_angle_beta 94.52
_cell_angle_gamma 90.00
_symmetry_space_group_name_H-M 'C 1 2/m 1'
_symmetry_Int_Tables_number 12
loop_
_symmetry_equiv_pos_as_xyz
'x,y,z'
'-x,-y,-z'
'-x,y,-z'
'x,-y,z'
'x+1/2,y+1/2,z'
'-x+1/2,-y+1/2,-z'
'-x+1/2,y+1/2,-z'
'x+1/2,-y+1/2,z'
loop_
_atom_site_label
_atom_site_fract_x
_atom_site_fract_y
_atom_site_fract_z
Ca1 0.000 0.000 0.000
O1 0.113 0.500 0.518
F1 0.093 0.198 0.530
F2 0.210 0.500 0.469
```

Density functional theory data (PBE-GGA) for a relaxed structure of CaO6F12.

total moment: 19.95 μB/f.u.
density: 2.0 g/cm3
crystal system: trigonal
DOS(E_F): 0.547 states/eV/atom
E_form (uncorrected): 0.195 eV per atom

```
data_CaO6F12
_chemical_formula_sum 'Ca3 O18 F36'
_cell_length_a 9.2822
_cell_length_b 9.2822
_cell_length_c 11.8803
_cell_angle_alpha 90.00
_cell_angle_beta 90.00
_cell_angle_gamma 120.00
_symmetry_space_group_name_H-M 'R -3'
_symmetry_Int_Tables_number 148
_symmetry_space_group_name_Hall '-R 3'
loop_
_atom_site_label
_atom_site_fract_x
_atom_site_fract_y
_atom_site_fract_z
Ca1 0.0000 0.0000 0.0000
O1 0.0540 0.5504 0.3104
F1 0.0439 0.8095 0.9077
F2 0.0455 0.4820 0.9363
```

Density functional theory data (PBE-GGA) for a relaxed structure of Ca2O2F.

total moment: 1.00 μB/f.u.
density: 3.3 g/cm3
crystal system: tetragonal
DOS(E_F): 0.000 states/eV/atom
E_form (uncorrected): -2.725 eV per atom

```
data_Ca2O2F
_chemical_formula_sum 'Ca4 O4 F2'
_cell_length_a 6.399
_cell_length_b 6.399
_cell_length_c 3.216
_cell_angle_alpha 90.00
_cell_angle_beta 90.00
_cell_angle_gamma 90.00
_symmetry_space_group_name_H-M 'P 4/m b m'
_symmetry_Int_Tables_number 127
_symmetry_space_group_name_Hall '-P 4 2ab'
loop_
_atom_site_label
_atom_site_fract_x
_atom_site_fract_y
_atom_site_fract_z
Ca1 0.176 0.324 0.000
O1 0.122 0.622 0.500
F1 0.000 0.000 0.000
```

Density functional theory data (PBE-GGA) for a relaxed structure of Ca2OF.

total moment: 0.00 μB/f.u.
density: 2.4 g/cm3
crystal system: tetragonal
DOS(E_F): 0.341 states/eV/atom
E_form (uncorrected): -2.657 eV per atom
ΔE to the lowest computed polymorph: 1.460 kcal/mol of atoms

```
data_Ca2OF
_chemical_formula_sum 'Ca8 O4 F4'
_cell_length_a 5.493
_cell_length_b 5.493
_cell_length_c 10.780
_cell_angle_alpha 90.00
_cell_angle_beta 90.00
_cell_angle_gamma 90.00
_symmetry_space_group_name_H-M 'I -4 2 d'
_symmetry_Int_Tables_number 122
_symmetry_space_group_name_Hall 'I -4 2bw'
loop_
_atom_site_label
_atom_site_fract_x
_atom_site_fract_y
_atom_site_fract_z
Ca1 0.220 0.250 0.125
O1 0.000 0.000 0.000
F1 0.000 0.000 0.500
```

Density functional theory data (PBE-GGA) for a relaxed structure of Ca2OF.

total moment: 0.52 μB/f.u.
density: 3.6 g/cm3
crystal system: cubic
DOS(E_F): 0.773 states/eV/atom
E_form (uncorrected): -2.158 eV per atom
ΔE to the lowest computed polymorph: 12.954 kcal/mol of atoms

```
data_Ca2OF
_chemical_formula_sum 'Ca8 O4 F4'
_cell_length_a 5.990
_cell_length_b 5.990
_cell_length_c 5.990
_cell_angle_alpha 90.00
_cell_angle_beta 90.00
_cell_angle_gamma 90.00
_symmetry_space_group_name_H-M 'F m -3 m'
_symmetry_Int_Tables_number 225
_symmetry_space_group_name_Hall '-F 4 2 3'
loop_
_atom_site_label
_atom_site_fract_x
_atom_site_fract_y
_atom_site_fract_z
Ca1 0.250 0.250 0.250
O1 0.000 0.000 0.000
F1 0.000 0.000 0.500
```

Density functional theory data (PBE-GGA) for a relaxed structure of Ca2OF.

total moment: 0.01 μB/f.u.
density: 2.3 g/cm3
crystal system: trigonal
DOS(E_F): 0.222 states/eV/atom
E_form (uncorrected): -2.720 eV per atom
ΔE to the lowest computed polymorph: 0.000 kcal/mol of atoms

```
data_Ca2OF
_chemical_formula_sum 'Ca6 O3 F3'
_cell_length_a 3.5575
_cell_length_b 3.5575
_cell_length_c 23.1974
_cell_angle_alpha 90.00
_cell_angle_beta 90.00
_cell_angle_gamma 120.00
_symmetry_space_group_name_H-M 'R 3 m'
_symmetry_Int_Tables_number 160
_symmetry_space_group_name_Hall 'R 3 -2"'
loop_
_atom_site_label
_atom_site_fract_x
_atom_site_fract_y
_atom_site_fract_z
Ca1 0.0000 0.0000 0.0000
Ca2 0.0000 0.0000 0.2134
O1 0.0000 0.0000 0.6042
F1 0.0000 0.0000 0.3713
```

Density functional theory data (PBE-GGA) for a relaxed structure of Ca3OF.

total moment: 0.20 μB/f.u.
density: 2.2 g/cm3
crystal system: cubic
DOS(E_F): 0.841 states/eV/atom
E_form (uncorrected): -1.509 eV per atom
ΔE to the lowest computed polymorph: 0.000 kcal/mol of atoms

```
data_Ca3OF
_chemical_formula_sum 'Ca3 O1 F1'
_cell_length_a 4.858
_cell_length_b 4.858
_cell_length_c 4.858
_cell_angle_alpha 90.00
_cell_angle_beta 90.00
_cell_angle_gamma 90.00
_symmetry_space_group_name_H-M 'P m -3 m'
_symmetry_Int_Tables_number 221
_symmetry_space_group_name_Hall '-P 4 2 3'
loop_
_atom_site_label
_atom_site_fract_x
_atom_site_fract_y
_atom_site_fract_z
Ca1 0.000 0.000 0.500
O1 0.000 0.000 0.000
F1 0.500 0.500 0.500
```

Density functional theory data (PBE-GGA) for a relaxed structure of Ca2OF.

total moment: 0.00 μB/f.u.
density: 3.1 g/cm3
crystal system: trigonal
DOS(E_F): 0.516 states/eV/atom
E_form (uncorrected): -2.624 eV per atom
ΔE to the lowest computed polymorph: 2.214 kcal/mol of atoms

```
data_Ca2OF
_chemical_formula_sum 'Ca6 O3 F3'
_cell_length_a 3.5175
_cell_length_b 3.5175
_cell_length_c 17.4205
_cell_angle_alpha 90.00
_cell_angle_beta 90.00
_cell_angle_gamma 120.00
_symmetry_space_group_name_H-M 'R -3 m'
_symmetry_Int_Tables_number 166
_symmetry_space_group_name_Hall '-R 3 2"'
loop_
_atom_site_label
_atom_site_fract_x
_atom_site_fract_y
_atom_site_fract_z
Ca1 0.0000 0.0000 0.2423
O1 0.0000 0.0000 0.5000
F1 0.0000 0.0000 0.0000
```

Density functional theory data (PBE-GGA) for a relaxed structure of Ca2OF2.

total moment: 0.00 μB/f.u.
density: 2.8 g/cm3
crystal system: monoclinic
DOS(E_F): 0.000 states/eV/atom
E_form (uncorrected): -3.412 eV per atom
ΔE to the lowest computed polymorph: 0.000 kcal/mol of atoms

```
data_Ca2OF2
_chemical_formula_sum 'Ca8 O4 F8'
_cell_length_a 8.297
_cell_length_b 6.500
_cell_length_c 5.924
_cell_angle_alpha 90.00
_cell_angle_beta 94.85
_cell_angle_gamma 90.00
_symmetry_space_group_name_H-M 'P 1 21/c 1'
_symmetry_Int_Tables_number 14
loop_
_symmetry_equiv_pos_as_xyz
'x,y,z'
'-x,-y,-z'
'-x,y+1/2,-z+1/2'
'x,-y+1/2,z+1/2'
loop_
_atom_site_label
_atom_site_fract_x
_atom_site_fract_y
_atom_site_fract_z
Ca1 0.042 0.118 0.231
Ca2 0.362 0.002 0.738
O1 0.156 0.108 0.905
F1 0.150 0.630 0.975
F2 0.494 0.749 0.988
```

Density functional theory data (PBE-GGA) for a relaxed structure of Ca2OF2.

total moment: 0.07 μB/f.u.
density: 2.8 g/cm3
crystal system: trigonal
DOS(E_F): 0.000 states/eV/atom
E_form (uncorrected): -3.269 eV per atom
ΔE to the lowest computed polymorph: 3.291 kcal/mol of atoms

```
data_Ca2OF2
_chemical_formula_sum 'Ca6 O3 F6'
_cell_length_a 3.4034
_cell_length_b 3.4034
_cell_length_c 24.1490
_cell_angle_alpha 90.00
_cell_angle_beta 90.00
_cell_angle_gamma 120.00
_symmetry_space_group_name_H-M 'R -3 m'
_symmetry_Int_Tables_number 166
_symmetry_space_group_name_Hall '-R 3 2"'
loop_
_atom_site_label
_atom_site_fract_x
_atom_site_fract_y
_atom_site_fract_z
Ca1 0.0000 0.0000 0.1052
O1 0.0000 0.0000 0.5000
F1 0.0000 0.0000 0.3906
```

Density functional theory data (PBE-GGA) for a relaxed structure of CaOsO4F.

total moment: 1.03 μB/f.u.
density: 3.9 g/cm3
crystal system: monoclinic
DOS(E_F): 0.603 states/eV/atom
E_form (uncorrected): -1.843 eV per atom

```
data_CaOsO4F
_chemical_formula_sum 'Ca4 Os4 O16 F4'
_cell_length_a 9.677
_cell_length_b 7.687
_cell_length_c 7.689
_cell_angle_alpha 90.00
_cell_angle_beta 110.55
_cell_angle_gamma 90.00
_symmetry_space_group_name_H-M 'C 1 2/m 1'
_symmetry_Int_Tables_number 12
loop_
_symmetry_equiv_pos_as_xyz
'x,y,z'
'-x,-y,-z'
'-x,y,-z'
'x,-y,z'
'x+1/2,y+1/2,z'
'-x+1/2,-y+1/2,-z'
'-x+1/2,y+1/2,-z'
'x+1/2,-y+1/2,z'
loop_
_atom_site_label
_atom_site_fract_x
_atom_site_fract_y
_atom_site_fract_z
Ca1 0.180 0.000 0.145
Os1 0.139 0.500 0.274
O1 0.055 0.500 0.790
O2 0.191 0.312 0.182
O3 0.220 0.500 0.518
F1 0.044 0.000 0.850
```

Density functional theory data (PBE-GGA) for a relaxed structure of CaOsOF2.

total moment: 4.23 μB/f.u.
density: 5.8 g/cm3
crystal system: tetragonal
DOS(E_F): 1.223 states/eV/atom
E_form (uncorrected): -0.779 eV per atom
ΔE to the lowest computed polymorph: 12.837 kcal/mol of atoms

```
data_CaOsOF2
_chemical_formula_sum 'Ca1 Os1 O1 F2'
_cell_length_a 4.173
_cell_length_b 4.173
_cell_length_c 4.706
_cell_angle_alpha 90.00
_cell_angle_beta 90.00
_cell_angle_gamma 90.00
_symmetry_space_group_name_H-M 'P 4/m m m'
_symmetry_Int_Tables_number 123
_symmetry_space_group_name_Hall '-P 4 2'
loop_
_atom_site_label
_atom_site_fract_x
_atom_site_fract_y
_atom_site_fract_z
Ca1 0.000 0.000 0.000
Os1 0.500 0.500 0.500
O1 0.000 0.000 0.500
F1 0.000 0.500 0.000
```

Density functional theory data (PBE-GGA) for a relaxed structure of CaOsOF2.

total moment: 0.00 μB/f.u.
density: 6.1 g/cm3
crystal system: tetragonal
DOS(E_F): 0.502 states/eV/atom
E_form (uncorrected): -1.336 eV per atom
ΔE to the lowest computed polymorph: 0.000 kcal/mol of atoms

```
data_CaOsOF2
_chemical_formula_sum 'Ca1 Os1 O1 F2'
_cell_length_a 4.539
_cell_length_b 4.539
_cell_length_c 3.777
_cell_angle_alpha 90.00
_cell_angle_beta 90.00
_cell_angle_gamma 90.00
_symmetry_space_group_name_H-M 'P 4/m m m'
_symmetry_Int_Tables_number 123
_symmetry_space_group_name_Hall '-P 4 2'
loop_
_atom_site_label
_atom_site_fract_x
_atom_site_fract_y
_atom_site_fract_z
Ca1 0.000 0.000 0.000
Os1 0.500 0.500 0.500
O1 0.500 0.500 0.000
F1 0.000 0.500 0.500
```

Density functional theory data (PBE-GGA) for a relaxed structure of CaPO2F.

total moment: 4.03 μB/f.u.
density: 1.6 g/cm3
crystal system: tetragonal
DOS(E_F): 0.938 states/eV/atom
E_form (uncorrected): 0.010 eV per atom

```
data_CaPO2F
_chemical_formula_sum 'Ca1 P1 O2 F1'
_cell_length_a 4.228
_cell_length_b 4.228
_cell_length_c 7.071
_cell_angle_alpha 90.00
_cell_angle_beta 90.00
_cell_angle_gamma 90.00
_symmetry_space_group_name_H-M 'P 4/m m m'
_symmetry_Int_Tables_number 123
_symmetry_space_group_name_Hall '-P 4 2'
loop_
_atom_site_label
_atom_site_fract_x
_atom_site_fract_y
_atom_site_fract_z
Ca1 0.000 0.000 0.000
P1 0.000 0.000 0.500
O1 0.000 0.500 0.000
F1 0.500 0.500 0.500
```

Density functional theory data (PBE-GGA) for a relaxed structure of CaPO2F.

total moment: 0.00 μB/f.u.
density: 3.2 g/cm3
crystal system: tetragonal
DOS(E_F): 0.073 states/eV/atom
E_form (uncorrected): -1.806 eV per atom

```
data_CaPO2F
_chemical_formula_sum 'Ca1 P1 O2 F1'
_cell_length_a 3.867
_cell_length_b 3.867
_cell_length_c 4.188
_cell_angle_alpha 90.00
_cell_angle_beta 90.00
_cell_angle_gamma 90.00
_symmetry_space_group_name_H-M 'P 4/m m m'
_symmetry_Int_Tables_number 123
_symmetry_space_group_name_Hall '-P 4 2'
loop_
_atom_site_label
_atom_site_fract_x
_atom_site_fract_y
_atom_site_fract_z
Ca1 0.000 0.000 0.000
P1 0.500 0.500 0.500
O1 0.000 0.500 0.500
F1 0.500 0.500 0.000
```

Density functional theory data (PBE-GGA) for a relaxed structure of CaP2OF.

total moment: 0.60 μB/f.u.
density: 2.7 g/cm3
crystal system: tetragonal
DOS(E_F): 0.606 states/eV/atom
E_form (uncorrected): -0.242 eV per atom
ΔE to the lowest computed polymorph: 0.000 kcal/mol of atoms

```
data_CaP2OF
_chemical_formula_sum 'Ca1 P2 O1 F1'
_cell_length_a 3.963
_cell_length_b 3.963
_cell_length_c 5.318
_cell_angle_alpha 90.00
_cell_angle_beta 90.00
_cell_angle_gamma 90.00
_symmetry_space_group_name_H-M 'P 4/m m m'
_symmetry_Int_Tables_number 123
_symmetry_space_group_name_Hall '-P 4 2'
loop_
_atom_site_label
_atom_site_fract_x
_atom_site_fract_y
_atom_site_fract_z
Ca1 0.000 0.000 0.000
P1 0.000 0.500 0.500
O1 0.500 0.500 0.000
F1 0.500 0.500 0.500
```

Density functional theory data (PBE-GGA) for a relaxed structure of CaPO2F.

total moment: 0.00 μB/f.u.
density: 2.5 g/cm3
crystal system: tetragonal
DOS(E_F): 0.767 states/eV/atom
E_form (uncorrected): -0.581 eV per atom

```
data_CaPO2F
_chemical_formula_sum 'Ca1 P1 O2 F1'
_cell_length_a 4.411
_cell_length_b 4.411
_cell_length_c 4.091
_cell_angle_alpha 90.00
_cell_angle_beta 90.00
_cell_angle_gamma 90.00
_symmetry_space_group_name_H-M 'P 4/m m m'
_symmetry_Int_Tables_number 123
_symmetry_space_group_name_Hall '-P 4 2'
loop_
_atom_site_label
_atom_site_fract_x
_atom_site_fract_y
_atom_site_fract_z
Ca1 0.000 0.000 0.000
P1 0.500 0.500 0.500
O1 0.000 0.500 0.000
F1 0.000 0.000 0.500
```

Density functional theory data (PBE-GGA) for a relaxed structure of CaPO2F.

total moment: 0.23 μB/f.u.
density: 2.9 g/cm3
crystal system: tetragonal
DOS(E_F): 0.395 states/eV/atom
E_form (uncorrected): -0.398 eV per atom

```
data_CaPO2F
_chemical_formula_sum 'Ca1 P1 O2 F1'
_cell_length_a 4.545
_cell_length_b 4.545
_cell_length_c 3.413
_cell_angle_alpha 90.00
_cell_angle_beta 90.00
_cell_angle_gamma 90.00
_symmetry_space_group_name_H-M 'P 4/m m m'
_symmetry_Int_Tables_number 123
_symmetry_space_group_name_Hall '-P 4 2'
loop_
_atom_site_label
_atom_site_fract_x
_atom_site_fract_y
_atom_site_fract_z
Ca1 0.000 0.000 0.000
P1 0.500 0.500 0.000
O1 0.000 0.500 0.500
F1 0.500 0.500 0.500
```

Density functional theory data (PBE-GGA) for a relaxed structure of CaP2OF.

total moment: 1.20 μB/f.u.
density: 1.8 g/cm3
crystal system: tetragonal
DOS(E_F): 1.218 states/eV/atom
E_form (uncorrected): 0.582 eV per atom
ΔE to the lowest computed polymorph: 18.999 kcal/mol of atoms

```
data_CaP2OF
_chemical_formula_sum 'Ca1 P2 O1 F1'
_cell_length_a 5.450
_cell_length_b 5.450
_cell_length_c 4.238
_cell_angle_alpha 90.00
_cell_angle_beta 90.00
_cell_angle_gamma 90.00
_symmetry_space_group_name_H-M 'P 4/m m m'
_symmetry_Int_Tables_number 123
_symmetry_space_group_name_Hall '-P 4 2'
loop_
_atom_site_label
_atom_site_fract_x
_atom_site_fract_y
_atom_site_fract_z
Ca1 0.000 0.000 0.000
P1 0.000 0.500 0.000
O1 0.000 0.000 0.500
F1 0.500 0.500 0.500
```

Density functional theory data (PBE-GGA) for a relaxed structure of Ca5P3O12F.

total moment: 0.00 μB/f.u.
density: 3.1 g/cm3
crystal system: hexagonal
DOS(E_F): 0.000 states/eV/atom
E_form (uncorrected): -3.002 eV per atom

```
data_Ca5P3O12F
_chemical_formula_sum 'Ca10 P6 O24 F2'
_cell_length_a 9.4981
_cell_length_b 9.4981
_cell_length_c 6.9183
_cell_angle_alpha 90.00
_cell_angle_beta 90.00
_cell_angle_gamma 120.00
_symmetry_space_group_name_H-M 'P 63/m'
_symmetry_Int_Tables_number 176
_symmetry_space_group_name_Hall '-P 6c'
loop_
_atom_site_label
_atom_site_fract_x
_atom_site_fract_y
_atom_site_fract_z
Ca1 0.0013 0.2460 0.2500
Ca2 0.3333 0.6667 0.0011
P1 0.0290 0.3983 0.7500
O1 0.0838 0.3408 0.5695
O2 0.1225 0.5881 0.7500
O3 0.1573 0.6713 0.2500
F1 0.0000 0.0000 0.2500
```

| no. | calculated volume (Å³/atom) |
| --- | --- |
| 1 | 15.3 |
| 2 | 15.6 |
| 3 | 13.2 |
| 4 | 20.3 |
| 5 | 13.4 |
| 6 | 21.2 |
| 7 | 22.9 |
| 8 | 15.6 |
| 9 | 15.9 |
| 10 | 16.1 |
| 11 | 19.1 |
| 12 | 16.4 |
| 13 | 15.6 |
| 14 | 25.3 |
| 15 | 12.5 |
| 16 | 16.7 |
| 17 | 15.9 |
| 18 | 14.1 |
| 19 | 25.2 |
| 20 | 12.9 |